1.
Computed, not measured: a relaxed structure of Ac15La2Pr2 at the PBE level of DFT.

a = 9.681 Å, b = 9.681 Å, c = 9.681 Å
α = 80.10°, β = 80.10°, γ = 80.10°
Fractional coordinates of all 19 atoms:
Ac  0.000  0.000  0.500
Ac  0.000  0.299  0.701
Ac  0.000  0.500  0.000
Ac  0.000  0.701  0.299
Ac  0.147  0.638  0.638
Ac  0.299  0.000  0.701
Ac  0.299  0.701  0.000
Ac  0.362  0.362  0.853
Ac  0.362  0.853  0.362
Ac  0.500  0.000  0.000
Ac  0.638  0.147  0.638
Ac  0.638  0.638  0.147
Ac  0.701  0.000  0.299
Ac  0.701  0.299  0.000
Ac  0.853  0.362  0.362
La  0.316  0.316  0.316
La  0.684  0.684  0.684
Pr  0.088  0.088  0.088
Pr  0.912  0.912  0.912

Computed properties:
- final energy (eV/cell) = -75.64
- ΔH_f (0 K) (kJ/mol of formula units) = 521
- SG = R-3m, No. 166
- crystal system = trigonal
- calculated volume (Å³/atom) = 45.85
- DOS(E_F) (states/eV per cell) = 35.87
- total magnetic moment (μB/f.u.) = 0.01

2.
Computed, not measured: a relaxed structure of AcLa3Pr6 at the PBE level of DFT.

a = 9.299 Å, b = 9.299 Å, c = 9.478 Å
α = 90.00°, β = 90.00°, γ = 113.98°
Fractional coordinates of all 20 atoms:
Ac  0.205  0.795  0.500
Ac  0.795  0.205  0.000
La  0.037  0.963  0.775
La  0.213  0.356  0.936
La  0.356  0.213  0.436
La  0.644  0.787  0.936
La  0.787  0.644  0.436
La  0.963  0.037  0.275
Pr  0.036  0.325  0.601
Pr  0.179  0.473  0.273
Pr  0.266  0.734  0.868
Pr  0.325  0.036  0.101
Pr  0.439  0.561  0.620
Pr  0.473  0.179  0.773
Pr  0.527  0.821  0.273
Pr  0.561  0.439  0.120
Pr  0.675  0.964  0.601
Pr  0.734  0.266  0.368
Pr  0.821  0.527  0.773
Pr  0.964  0.675  0.101

Computed properties:
- final energy (eV/cell) = -92.92
- ΔH_f (0 K) (kJ/mol of formula units) = 107
- SG = Cmc2_1, No. 36
- crystal system = orthorhombic
- calculated volume (Å³/atom) = 37.44
- DOS(E_F) (states/eV per cell) = 29.98
- total magnetic moment (μB/f.u.) = 0.00

3.
Computed, not measured: a relaxed structure of Ac3La3Pr2 at the PBE level of DFT.

a = 11.461 Å, b = 11.461 Å, c = 11.461 Å
α = 152.79°, β = 152.56°, γ = 39.03°
Fractional coordinates of all 8 atoms:
Ac  0.000  0.000  0.000
Ac  0.372  0.872  0.500
Ac  0.628  0.128  0.500
La  0.128  0.628  0.500
La  0.500  0.500  0.000
La  0.872  0.372  0.500
Pr  0.250  0.250  0.000
Pr  0.750  0.750  0.000

Computed properties:
- final energy (eV/cell) = -36.53
- ΔH_f (0 K) (kJ/mol of formula units) = 13
- SG = Immm, No. 71
- crystal system = orthorhombic
- calculated volume (Å³/atom) = 39.57
- DOS(E_F) (states/eV per cell) = 14.36
- total magnetic moment (μB/f.u.) = 0.00

4.
Computed, not measured: a relaxed structure of Ac3LaPr6 at the PBE level of DFT.

a = 7.370 Å, b = 7.370 Å, c = 7.370 Å
α = 88.84°, β = 88.84°, γ = 88.84°
Fractional coordinates of all 10 atoms:
Ac  0.000  0.000  0.000
Ac  0.260  0.260  0.260
Ac  0.520  0.520  0.520
La  0.760  0.760  0.760
Pr  0.015  0.686  0.351
Pr  0.167  0.504  0.832
Pr  0.351  0.015  0.686
Pr  0.504  0.832  0.167
Pr  0.686  0.351  0.015
Pr  0.832  0.167  0.504

Computed properties:
- final energy (eV/cell) = -42.66
- ΔH_f (0 K) (kJ/mol of formula units) = 315
- SG = R3, No. 146
- crystal system = trigonal
- calculated volume (Å³/atom) = 40.01
- DOS(E_F) (states/eV per cell) = 23.93
- total magnetic moment (μB/f.u.) = 0.00

5.
Computed, not measured: a relaxed structure of AcLa4Pr2 at the PBE level of DFT.

a = 9.437 Å, b = 9.437 Å, c = 9.437 Å
α = 135.60°, β = 102.70°, γ = 93.77°
Fractional coordinates of all 14 atoms:
Ac  0.500  0.000  0.000
Ac  0.500  0.500  0.500
La  0.137  0.639  0.498
La  0.238  0.272  0.534
La  0.238  0.705  0.966
La  0.359  0.361  0.998
La  0.641  0.639  0.002
La  0.762  0.295  0.034
La  0.762  0.728  0.466
La  0.863  0.361  0.502
Pr  0.000  0.000  0.000
Pr  0.031  0.781  0.250
Pr  0.500  0.000  0.500
Pr  0.969  0.219  0.750

Computed properties:
- final energy (eV/cell) = -63.80
- ΔH_f (0 K) (kJ/mol of formula units) = 142
- SG = Imma, No. 74
- crystal system = orthorhombic
- calculated volume (Å³/atom) = 38.73
- DOS(E_F) (states/eV per cell) = 23.20
- total magnetic moment (μB/f.u.) = 0.00

6.
Computed, not measured: a relaxed structure of Ac2LaPr6 at the PBE level of DFT.

a = 10.539 Å, b = 10.539 Å, c = 3.594 Å
α = 90.00°, β = 90.00°, γ = 120.00°
Fractional coordinates of all 9 atoms:
Ac  0.333  0.667  0.000
Ac  0.667  0.333  0.000
La  0.000  0.000  0.500
Pr  0.000  0.330  0.274
Pr  0.000  0.670  0.726
Pr  0.330  0.000  0.274
Pr  0.330  0.330  0.726
Pr  0.670  0.000  0.726
Pr  0.670  0.670  0.274

Computed properties:
- final energy (eV/cell) = -40.40
- ΔH_f (0 K) (kJ/mol of formula units) = 137
- SG = P-31m, No. 162
- crystal system = trigonal
- calculated volume (Å³/atom) = 38.41
- DOS(E_F) (states/eV per cell) = 20.44
- total magnetic moment (μB/f.u.) = 0.00

7.
Computed, not measured: a relaxed structure of AcLa2Pr2 at the PBE level of DFT.

a = 6.541 Å, b = 6.541 Å, c = 9.758 Å
α = 105.83°, β = 105.83°, γ = 79.94°
Fractional coordinates of all 10 atoms:
Ac  0.221  0.779  0.750
Ac  0.779  0.221  0.250
La  0.063  0.713  0.352
La  0.287  0.937  0.148
La  0.713  0.063  0.852
La  0.937  0.287  0.648
Pr  0.266  0.393  0.020
Pr  0.393  0.266  0.520
Pr  0.607  0.734  0.480
Pr  0.734  0.607  0.980

Computed properties:
- final energy (eV/cell) = -46.01
- ΔH_f (0 K) (kJ/mol of formula units) = 50
- SG = C2/c, No. 15
- crystal system = monoclinic
- calculated volume (Å³/atom) = 38.41
- DOS(E_F) (states/eV per cell) = 14.07
- total magnetic moment (μB/f.u.) = 0.00

8.
Computed, not measured: a relaxed structure of Ac8La3Pr2 at the PBE level of DFT.

a = 9.514 Å, b = 9.514 Å, c = 6.684 Å
α = 107.21°, β = 107.21°, γ = 83.77°
Fractional coordinates of all 13 atoms:
Ac  0.058  0.058  0.295
Ac  0.082  0.581  0.834
Ac  0.351  0.351  0.440
Ac  0.419  0.918  0.166
Ac  0.581  0.082  0.834
Ac  0.649  0.649  0.560
Ac  0.918  0.419  0.166
Ac  0.942  0.942  0.705
La  0.252  0.748  0.500
La  0.500  0.500  0.000
La  0.748  0.252  0.500
Pr  0.211  0.211  0.858
Pr  0.789  0.789  0.142

Computed properties:
- final energy (eV/cell) = -55.19
- ΔH_f (0 K) (kJ/mol of formula units) = 194
- SG = C2/m, No. 12
- crystal system = monoclinic
- calculated volume (Å³/atom) = 42.45
- DOS(E_F) (states/eV per cell) = 24.33
- total magnetic moment (μB/f.u.) = 0.00

9.
Computed, not measured: a relaxed structure of Ac3La5Pr2 at the PBE level of DFT.

a = 9.414 Å, b = 9.414 Å, c = 10.833 Å
α = 108.27°, β = 108.27°, γ = 105.64°
Fractional coordinates of all 20 atoms:
Ac  0.013  0.987  0.750
Ac  0.222  0.475  0.445
Ac  0.475  0.222  0.945
Ac  0.525  0.778  0.055
Ac  0.778  0.525  0.555
Ac  0.987  0.013  0.250
La  0.127  0.380  0.751
La  0.235  0.765  0.750
La  0.262  0.738  0.250
La  0.380  0.127  0.251
La  0.474  0.526  0.250
La  0.526  0.474  0.750
La  0.620  0.873  0.749
La  0.738  0.262  0.750
La  0.765  0.235  0.250
La  0.873  0.620  0.249
Pr  0.026  0.289  0.060
Pr  0.289  0.026  0.560
Pr  0.711  0.974  0.440
Pr  0.974  0.711  0.940

Computed properties:
- final energy (eV/cell) = -89.87
- ΔH_f (0 K) (kJ/mol of formula units) = 153
- SG = C2/c, No. 15
- crystal system = monoclinic
- calculated volume (Å³/atom) = 39.52
- DOS(E_F) (states/eV per cell) = 36.01
- total magnetic moment (μB/f.u.) = 0.00

10.
Computed, not measured: a relaxed structure of AcLa3Pr6 at the PBE level of DFT.

a = 7.207 Å, b = 7.207 Å, c = 7.207 Å
α = 90.73°, β = 90.73°, γ = 90.73°
Fractional coordinates of all 10 atoms:
Ac  0.000  0.000  0.000
La  0.257  0.257  0.257
La  0.494  0.494  0.494
La  0.724  0.724  0.724
Pr  0.137  0.790  0.484
Pr  0.284  0.616  0.968
Pr  0.484  0.137  0.790
Pr  0.616  0.968  0.284
Pr  0.790  0.484  0.137
Pr  0.968  0.284  0.616

Computed properties:
- final energy (eV/cell) = -45.12
- ΔH_f (0 K) (kJ/mol of formula units) = 236
- SG = R3, No. 146
- crystal system = trigonal
- calculated volume (Å³/atom) = 37.42
- DOS(E_F) (states/eV per cell) = 20.07
- total magnetic moment (μB/f.u.) = 0.00

11.
Computed, not measured: a relaxed structure of Ac2La2Pr5 at the PBE level of DFT.

a = 9.465 Å, b = 9.465 Å, c = 10.342 Å
α = 98.55°, β = 98.55°, γ = 22.48°
Fractional coordinates of all 9 atoms:
Ac  0.004  0.004  0.189
Ac  0.996  0.996  0.811
La  0.323  0.323  0.623
La  0.677  0.677  0.377
Pr  0.172  0.172  0.036
Pr  0.334  0.334  0.273
Pr  0.500  0.500  0.500
Pr  0.666  0.666  0.727
Pr  0.828  0.828  0.964

Computed properties:
- final energy (eV/cell) = -40.87
- ΔH_f (0 K) (kJ/mol of formula units) = 106
- SG = C2/m, No. 12
- crystal system = monoclinic
- calculated volume (Å³/atom) = 38.90
- DOS(E_F) (states/eV per cell) = 14.55
- total magnetic moment (μB/f.u.) = 0.00

12.
Computed, not measured: a relaxed structure of Ac2La2Pr7 at the PBE level of DFT.

a = 7.493 Å, b = 7.493 Å, c = 8.442 Å
α = 103.12°, β = 103.12°, γ = 79.77°
Fractional coordinates of all 11 atoms:
Ac  0.156  0.156  0.478
Ac  0.844  0.844  0.522
La  0.342  0.658  0.000
La  0.658  0.342  0.000
Pr  0.089  0.473  0.213
Pr  0.108  0.108  0.890
Pr  0.473  0.089  0.213
Pr  0.500  0.500  0.500
Pr  0.527  0.911  0.787
Pr  0.892  0.892  0.110
Pr  0.911  0.527  0.787

Computed properties:
- final energy (eV/cell) = -47.76
- ΔH_f (0 K) (kJ/mol of formula units) = 363
- SG = C2/m, No. 12
- crystal system = monoclinic
- calculated volume (Å³/atom) = 40.50
- DOS(E_F) (states/eV per cell) = 18.85
- total magnetic moment (μB/f.u.) = 0.00

> total magnetic moment of number 10 (AcLa3Pr6)?

0.00 μB/f.u.